Below is crystalline CaV2O4 at its relaxed geometry, with properties calculated at the GGA+U level.

abc: 7.0286 7.0286 9.3626
angles: 55.60 55.60 26.08
Last column: nearest neighbours and their distance in Å.
Atoms (fractional coordinates):
O 0.8695 0.8695 0.6817  3 V 2.04
V 0.8665 0.8665 0.4659  6 O 2.02-2.15
Ca 0.6537 0.6537 0.8255  6 O 2.26-2.44
O 0.2417 0.2417 0.6149  3 V 2.02-2.15
O 0.4613 0.4613 0.2953  3 V 1.99-2.09
V 0.3618 0.3618 0.8248  6 O 1.99-2.18
O 0.5387 0.5387 0.7047  3 V 1.99-2.09
Ca 0.3463 0.3463 0.1745  6 O 2.26-2.44
V 0.6382 0.6382 0.1752  6 O 1.99-2.18
O 0.1673 0.1673 0.9952  3 V 2.17-2.18, 2 Ca 2.33
V 0.1335 0.1335 0.5341  6 O 2.02-2.15
O 0.8327 0.8327 0.0048  3 V 2.17-2.18, 2 Ca 2.33
O 0.7583 0.7583 0.3851  3 V 2.02-2.15
O 0.1305 0.1305 0.3183  3 V 2.04

Summary:
- excess energy over the best structure of this formula in the dataset (kJ/mol of formula units) = 82
- space-group type = C2/m, No. 12